The following is a DFT calculation (PBE-GGA) of a relaxed NdGa2PdAu crystal.

Structure (CIF):
```
data_NdGa2PdAu
_cell_length_a 4.385
_cell_length_b 4.385
_cell_length_c 10.446
_cell_angle_alpha 90.00
_cell_angle_beta 90.00
_cell_angle_gamma 90.00
_space_group_name_H-M_alt 'P 4/n m m'
_space_group_IT_number 129
loop_
_space_group_symop_operation_xyz
'x,y,z'
'-x,-y,-z'
'-y+1/2,x,z'
'y+1/2,-x,-z'
'-x+1/2,-y+1/2,z'
'x+1/2,y+1/2,-z'
'y,-x+1/2,z'
'-y,x+1/2,-z'
'x+1/2,-y,-z'
'-x+1/2,y,z'
'-y,-x,-z'
'y,x,z'
'-x,y+1/2,-z'
'x,-y+1/2,z'
'y+1/2,x+1/2,-z'
'-y+1/2,-x+1/2,z'
loop_
_atom_site_label
_atom_site_type_symbol
_atom_site_fract_x
_atom_site_fract_y
_atom_site_fract_z
Nd1 Nd 0.250 0.250 0.248
Ga1 Ga 0.250 0.250 0.881
Ga2 Ga 0.250 0.750 0.500
Pd1 Pd 0.250 0.750 0.000
Au1 Au 0.250 0.250 0.639
```

Summary:
Raw total energy   -4.59 eV/atom
Volume   20.1 Å³ per atom
Polymorph energy (0 for the lowest one)   0.0 meV per atom
Theoretical density   9.71 g cm⁻³
Crystal system   tetragonal